No. 1
# Ir2RuPt

A geometry-optimized Ir2RuPt structure (PBE, Alexandria via LeMat-Bulk).

POSCAR file:
```
Ir2RuPt
1.0
-2.6971 0.6501 -2.6540
-3.2379 -2.0632 0.0080
-4.3099 3.2007 2.3869
Ir Ru Pt
2 1 1
direct
0.0874 0.0874 0.7379
0.2438 0.2438 0.2687
0.5028 0.5028 0.4916
0.6661 0.6661 0.0018
```

Output
ΔE to the lowest computed polymorph, eV per atom: 0.660



No. 2
# Ac8Tb3Nd3

A geometry-optimized Ac8Tb3Nd3 structure (PBE, Alexandria via LeMat-Bulk).

POSCAR file:
```
Ac8Tb3Nd3
1.0
0.5720 6.1740 1.3362
-5.3937 0.5513 8.0524
8.0319 -0.1294 5.4506
Ac Tb Nd
8 3 3
direct
0.5594 0.1080 0.6324
0.4406 0.8920 0.3676
0.5594 0.6324 0.1080
0.4406 0.3676 0.8920
0.9381 0.7783 0.5185
0.0619 0.2217 0.4815
0.9381 0.5185 0.7783
0.0619 0.4815 0.2217
0.5000 0.0000 0.0000
0.0000 0.8675 0.1325
0.0000 0.1325 0.8675
0.5000 0.5000 0.5000
0.6538 0.2281 0.2281
0.3462 0.7719 0.7719
```



No. 3
# Cs2TaTcCl6

A geometry-optimized Cs2TaTcCl6 structure (PBE, Alexandria via LeMat-Bulk).

POSCAR file:
```
Cs2TaTcCl6
1.0
-1.7813 2.7455 6.3065
-0.9934 -6.5489 2.5705
3.5270 -2.0730 5.9012
Cs Cl Tc Ta
2 6 1 1
direct
0.7500 0.2500 0.5000
0.2500 0.7500 0.5000
0.2467 0.2467 0.5065
0.7533 0.7533 0.4935
0.2493 0.2493 0.0000
0.7507 0.7507 0.0000
0.7507 0.2493 0.0000
0.2493 0.7507 0.0000
0.5000 0.5000 0.0000
0.0000 0.0000 0.0000
```

Output
ΔE_f (raw), eV per formula unit: -9.2



No. 4
# Ba3Sm3ErS8

A geometry-optimized Ba3Sm3ErS8 structure (PBE, Alexandria via LeMat-Bulk).

POSCAR file:
```
Ba3Sm3ErS8
1.0
8.2292 0.0024 0.0005
-4.1125 7.1211 -0.0243
-0.0010 -4.7204 7.3000
Ba Sm Er S
3 3 1 8
direct
0.0000 0.0000 0.0000
0.0000 0.5000 0.0000
0.5000 0.5000 0.0000
0.5000 0.0000 0.5000
0.5000 0.5000 0.5000
0.0000 0.5000 0.5000
0.0000 0.0000 0.5000
0.2609 0.5220 0.2830
0.7391 0.4780 0.7170
0.7684 0.5369 0.2920
0.2316 0.4631 0.7080
0.7683 0.0236 0.2919
0.2317 0.9764 0.7081
0.2551 0.0235 0.2919
0.7449 0.9765 0.7081
```

Output
ΔE_f (raw), eV per formula unit: -30.9



No. 5
# LiMgMn

A geometry-optimized LiMgMn structure (PBE, Alexandria via LeMat-Bulk).

POSCAR file:
```
LiMgMn
1.0
-1.8530 -5.9448 3.9469
0.9587 -5.7231 4.2808
-1.1995 1.0562 2.3478
Li Mg Mn
1 1 1
direct
0.0082 0.0082 0.9918
0.3267 0.3267 0.6733
0.6651 0.6651 0.3349
```

Output
ΔE to the lowest computed polymorph, eV per atom: 0.026



No. 6
# LiGa2Au3

A geometry-optimized LiGa2Au3 structure (PBE, Alexandria via LeMat-Bulk).

POSCAR file:
```
LiGa2Au3
1.0
-0.2829 4.1914 -1.5775
6.1452 -3.8160 -4.8582
-8.2417 -2.3878 1.5164
Li Ga Au
2 4 6
direct
0.2500 0.4095 0.5905
0.7500 0.5905 0.4095
0.2500 0.1007 0.8993
0.2500 0.7065 0.2935
0.7500 0.8993 0.1007
0.7500 0.2935 0.7065
0.5003 0.8123 0.6884
0.0003 0.6884 0.8123
0.5000 0.5000 0.0000
0.4997 0.1877 0.3116
0.0000 0.0000 0.5000
0.9997 0.3116 0.1877
```

Output
ΔE to the lowest computed polymorph, eV per atom: 0.000



no.,calculated total energy (eV per atom)
1,-7.618
2,-4.145
3,-4.422
4,-5.896
5,-3.936
6,-3.296